Computed, not measured: an optimized crystal structure of NdHoTm2S6 at the PBE-GGA level of DFT.

Cell: 6.924 6.924 7.329 Å, 61.81 61.82 60.00°
Fractional positions:
S 0.910 0.618 0.246
S 0.618 0.227 0.245
S 0.136 0.392 0.748
S 0.227 0.910 0.245
S 0.724 0.136 0.748
S 0.392 0.724 0.748
Nd 0.809 0.809 0.573
Tm 0.013 0.013 0.960
Tm 0.517 0.517 0.449
Ho 0.315 0.315 0.054

Output
DFT total energy ... -6.353 eV per atom
Magnetization ... 0.00 Bohr magnetons per cell